a:
LiPtSe: optimized geometry, PBE-GGA.

Cell lengths 2.9499, 2.9499, 11.3125 Å; angles 90.00, 90.00, 90.00 degrees
Closest atoms and distances in Å follow each position.
Element x y z (fractional)
Li (0.0000, 0.0000, 0.0000)  4 Pt 2.74, 4 Se 2.95, 4 Li 2.95
Li (0.5000, 0.5000, 0.5000)  4 Pt 2.74, 4 Se 2.95, 4 Li 2.95
Pt (0.0000, 0.0000, 0.3433)  4 Li 2.74, 4 Se 2.76, 4 Pt 2.95
Pt (0.5000, 0.5000, 0.8433)  4 Li 2.74, 4 Se 2.76, 4 Pt 2.95
Se (0.0000, 0.0000, 0.6838)  4 Pt 2.76, 4 Li 2.95, 4 Se 2.95
Se (0.5000, 0.5000, 0.1838)  4 Pt 2.76, 4 Li 2.95, 4 Se 2.95

Summary:
DOS(E_F): 0.5330 states/eV per atom

---

b:
LiPtSe: optimized geometry, PBE-GGA.

Cell lengths 4.2662, 4.2662, 3.3033 Å; angles 90.00, 90.00, 120.00 degrees
Closest atoms and distances in Å follow each position.
Element x y z (fractional)
Li (0.0000, 0.0000, 0.0000)  6 Se 2.97, 6 Pt 2.97, 2 Li 3.30
Pt (0.6667, 0.3333, 0.5000)  3 Se 2.46
Se (0.3333, 0.6667, 0.5000)  3 Pt 2.46

Summary:
DOS(E_F): 0.4183 states/eV per atom

---

Need the numbers? Relative energies in kJ/mol of atoms: a 28.4; b 0.0.

---

a:
LiSiPt3: optimized geometry, PBE-GGA.

Cell lengths 4.5381, 4.5381, 4.5381 Å; angles 90.00, 90.00, 90.00 degrees
Closest atoms and distances in Å follow each position.
Element x y z (fractional)
Li (0.0000, 0.0000, 0.0000)  12 Pt 3.21
Si (0.5000, 0.5000, 0.5000)  6 Pt 2.27
Pt (0.0000, 0.5000, 0.5000)  2 Si 2.27
Pt (0.5000, 0.0000, 0.5000)  2 Si 2.27
Pt (0.5000, 0.5000, 0.0000)  2 Si 2.27

Summary:
DOS(E_F): 0.9604 states/eV per atom

---

b:
LiSiPt3: optimized geometry, PBE-GGA.

Cell lengths 8.0420, 5.3629, 8.5189 Å; angles 90.00, 121.13, 90.00 degrees
Closest atoms and distances in Å follow each position.
Element x y z (fractional)
Li (0.1217, 0.2293, 0.0616)  7 Pt 2.58-2.80
Li (0.1217, 0.2707, 0.5616)  7 Pt 2.58-2.80
Li (0.8783, 0.7293, 0.4384)  7 Pt 2.58-2.80
Li (0.8783, 0.7707, 0.9384)  7 Pt 2.58-2.80
Si (0.2962, 0.7385, 0.9153)  6 Pt 2.34-2.56
Si (0.2962, 0.7615, 0.4153)  6 Pt 2.34-2.56
Si (0.7038, 0.2385, 0.5847)  6 Pt 2.34-2.56
Si (0.7038, 0.2615, 0.0847)  6 Pt 2.34-2.56
Pt (0.0240, 0.5028, 0.2611)  2 Si 2.34-2.56, 1 Li 2.58
Pt (0.0240, 0.9972, 0.7611)  2 Si 2.34-2.56, 1 Li 2.58
Pt (0.3472, 0.2057, 0.4256)  2 Si 2.41-2.46, 2 Li 2.63-2.67
Pt (0.3472, 0.2943, 0.9256)  2 Si 2.41-2.46, 2 Li 2.63-2.67
Pt (0.4201, 0.5810, 0.2297)  2 Si 2.46-2.47
Pt (0.4201, 0.9190, 0.7297)  2 Si 2.46-2.47
Pt (0.5799, 0.0810, 0.2703)  2 Si 2.46-2.47
Pt (0.5799, 0.4190, 0.7703)  2 Si 2.46-2.47
Pt (0.6528, 0.7057, 0.0744)  2 Si 2.41-2.46, 2 Li 2.63-2.67
Pt (0.6528, 0.7943, 0.5744)  2 Si 2.41-2.46, 2 Li 2.63-2.67
Pt (0.9760, 0.0028, 0.2389)  2 Si 2.34-2.56, 1 Li 2.58
Pt (0.9760, 0.4972, 0.7389)  2 Si 2.34-2.56, 1 Li 2.58

Summary:
DOS(E_F): 0.3760 states/eV per atom

---

c:
LiSiPt3: optimized geometry, PBE-GGA.

Cell lengths 4.2379, 4.2379, 4.2379 Å; angles 90.00, 90.00, 90.00 degrees
Closest atoms and distances in Å follow each position.
Element x y z (fractional)
Li (0.0000, 0.0000, 0.0000)  6 Pt 2.12
Si (0.5000, 0.5000, 0.5000)  12 Pt 3.00
Pt (0.0000, 0.0000, 0.5000)  2 Li 2.12
Pt (0.0000, 0.5000, 0.0000)  2 Li 2.12
Pt (0.5000, 0.0000, 0.0000)  2 Li 2.12

Summary:
DOS(E_F): 1.6488 states/eV per atom

---

Need the numbers? Relative energies in kJ/mol of atoms: a 45.6; b 0.0; c 102.4.